[1]
LiScCd3 | Alexandria via LeMat-Bulk | PBE-GGA | relaxed; ΔH_f (0 K) = -0.080 eV/atom; offset from the most stable computed form = 0.666 eV/f.u.
1.0
6.7099 0.0000 0.0000
-3.3549 5.8109 0.0000
0.0000 0.0000 5.3272
Li Sc Cd
2 2 6
Direct
0.0000 0.0000 0.0000
0.0000 0.0000 0.5000
0.3333 0.6667 0.2500
0.6667 0.3333 0.7500
0.1891 0.3783 0.7500
0.1891 0.8109 0.7500
0.3783 0.1891 0.2500
0.6217 0.8109 0.7500
0.8109 0.1891 0.2500
0.8109 0.6217 0.2500

[2]
LiScCd2 | Alexandria via LeMat-Bulk | PBE-GGA | relaxed; ΔH_f (0 K) = -0.109 eV/atom
1.0
1.6028 0.9254 9.7658
-1.6028 0.9254 9.7658
0.0000 -1.8508 9.7658
Li Sc Cd
1 1 2
Direct
0.0000 0.0000 0.0000
0.8323 0.8323 0.8323
0.4124 0.4124 0.4124
0.5859 0.5859 0.5859

[3]
LiSc2Cd | Alexandria via LeMat-Bulk | PBE-GGA | relaxed; ΔH_f (0 K) = 0.047 eV/atom
1.0
1.6238 0.9375 10.1644
-1.6238 0.9375 10.1644
0.0000 -1.8750 10.1644
Li Sc Cd
1 2 1
Direct
0.0000 0.0000 0.0000
0.2475 0.2475 0.2475
0.7525 0.7525 0.7525
0.5000 0.5000 0.5000

[4]
LiSc2Cd2 | Alexandria via LeMat-Bulk | PBE-GGA | relaxed; ΔH_f (0 K) = -0.034 eV/atom; offset from the most stable computed form = 0.373 eV/f.u.
1.0
8.6736 0.0000 0.0000
0.0000 8.6736 0.0000
0.0000 0.0000 3.1686
Li Sc Cd
2 4 4
Direct
0.0000 0.0000 0.0000
0.5000 0.5000 0.0000
0.1251 0.3749 0.0000
0.3749 0.8749 0.0000
0.6251 0.1251 0.0000
0.8749 0.6251 0.0000
0.1718 0.6718 0.5000
0.3282 0.1718 0.5000
0.6718 0.8282 0.5000
0.8282 0.3282 0.5000

[5]
LiSc4Cd3 | Alexandria via LeMat-Bulk | PBE-GGA | relaxed; ΔH_f (0 K) = -0.197 eV/atom
1.0
7.5086 -2.4810 0.0000
7.5086 2.4810 0.0000
-1.6347 0.0000 4.6851
Li Sc Cd
1 4 3
Direct
0.0000 0.0000 0.0000
0.1231 0.1231 0.6231
0.3769 0.3769 0.8769
0.6231 0.6231 0.1231
0.8769 0.8769 0.3769
0.2466 0.2466 0.2467
0.5000 0.5000 0.5000
0.7534 0.7534 0.7533

[6]
LiScCd3 | Alexandria via LeMat-Bulk | PBE-GGA | relaxed; ΔH_f (0 K) = 0.073 eV/atom; offset from the most stable computed form = 1.430 eV/f.u.
1.0
4.7318 0.0000 0.0000
0.0000 4.7318 0.0000
0.0000 0.0000 4.7318
Li Sc Cd
1 1 3
Direct
0.0000 0.0000 0.0000
0.5000 0.5000 0.5000
0.0000 0.0000 0.5000
0.0000 0.5000 0.0000
0.5000 0.0000 0.0000

[7]
Li3ScCd3 | Alexandria via LeMat-Bulk | PBE-GGA | relaxed; ΔH_f (0 K) = 0.355 eV/atom
1.0
6.9376 0.0000 0.0000
0.0000 6.9376 0.0000
0.0000 0.0000 6.9376
Li Sc Cd
6 2 6
Direct
0.0000 0.2500 0.5000
0.0000 0.7500 0.5000
0.2500 0.5000 0.0000
0.5000 0.0000 0.2500
0.5000 0.0000 0.7500
0.7500 0.5000 0.0000
0.0000 0.0000 0.0000
0.5000 0.5000 0.5000
0.0000 0.5000 0.2500
0.0000 0.5000 0.7500
0.2500 0.0000 0.5000
0.5000 0.2500 0.0000
0.5000 0.7500 0.0000
0.7500 0.0000 0.5000

[8]
LiScCd3 | Alexandria via LeMat-Bulk | PBE-GGA | relaxed; ΔH_f (0 K) = -0.213 eV/atom; offset from the most stable computed form = 0.000 eV/f.u.
1.0
2.2865 -9.4588 0.0000
2.2865 9.4588 0.0000
0.0000 0.0000 4.6966
Li Sc Cd
2 2 6
Direct
0.2503 0.7497 0.7500
0.7497 0.2503 0.2500
0.0588 0.9412 0.7500
0.9412 0.0588 0.2500
0.1604 0.8396 0.2500
0.3345 0.6655 0.2500
0.4470 0.5530 0.7500
0.5530 0.4470 0.2500
0.6655 0.3345 0.7500
0.8396 0.1604 0.7500

[9]
LiScCd | Alexandria via LeMat-Bulk | PBE-GGA | relaxed; ΔH_f (0 K) = -0.006 eV/atom; offset from the most stable computed form = 0.409 eV/f.u.
1.0
3.1892 0.0000 0.0000
-1.5946 2.7619 0.0000
0.0000 0.0000 7.4735
Li Sc Cd
1 1 1
Direct
0.0000 0.0000 0.0000
0.6667 0.3333 0.3527
0.3333 0.6667 0.6919

[10]
LiScCd2 | Alexandria via LeMat-Bulk | PBE-GGA | relaxed; ΔH_f (0 K) = -0.150 eV/atom
1.0
-1.6959 2.5103 4.9691
1.6959 -2.5103 4.9691
1.6959 2.5103 -4.9691
Li Sc Cd
1 1 2
Direct
0.0000 0.0000 0.0000
0.2726 0.7726 0.5000
0.5269 0.5269 0.0000
0.7708 0.2708 0.5000

[11]
LiSc2Cd3 | Alexandria via LeMat-Bulk | PBE-GGA | relaxed; ΔH_f (0 K) = -0.268 eV/atom
1.0
3.3978 0.0000 0.0000
0.0000 3.3978 0.0000
0.0000 0.0000 10.8668
Li Sc Cd
1 2 3
Direct
0.0000 0.0000 0.0000
0.0000 0.0000 0.3258
0.0000 0.0000 0.6742
0.5000 0.5000 0.1498
0.5000 0.5000 0.5000
0.5000 0.5000 0.8502

[12]
Li3ScCd4 | Alexandria via LeMat-Bulk | PBE-GGA | relaxed; ΔH_f (0 K) = -0.262 eV/atom
1.0
3.3568 0.0000 0.0000
0.0000 3.3568 0.0000
0.0000 0.0000 13.6184
Li Sc Cd
3 1 4
Direct
0.0000 0.0000 0.0000
0.0000 0.0000 0.2381
0.0000 0.0000 0.7619
0.0000 0.0000 0.5000
0.5000 0.5000 0.1184
0.5000 0.5000 0.3549
0.5000 0.5000 0.6451
0.5000 0.5000 0.8816